1.
A relaxed structure of K2AlCo, computed with GGA-PBE.

Lattice parameters (Å, degrees): 3.419 3.419 10.193 90.00 90.00 90.00
Element x y z (fractional)
K1 0.000 0.000 0.920
Al1 0.000 0.000 0.608
Co1 0.500 0.500 0.642
K2 0.500 0.500 0.330

Properties
total DFT energy (no corrections): -2.93 eV per atom
SG: P4mm

2.
A relaxed structure of KAlCo, computed with GGA-PBE.

Lattice parameters (Å, degrees): 6.574 6.574 3.308 75.43 75.43 29.14
Element x y z (fractional)
K1 0.669 0.669 0.331
Al1 0.932 0.932 0.068
Co1 0.399 0.399 0.601

Properties
total DFT energy (no corrections): -3.69 eV per atom
SG: I4mm

3.
A relaxed structure of KAlCo, computed with GGA-PBE.

Lattice parameters (Å, degrees): 5.090 5.090 5.090 60.00 60.00 60.00
Element x y z (fractional)
K1 0.250 0.250 0.250
Al1 0.000 0.000 0.000
Co1 0.500 0.500 0.500

Properties
total DFT energy (no corrections): -2.32 eV per atom
SG: F-43m

4.
A relaxed structure of K2AlCo, computed with GGA-PBE.

Lattice parameters (Å, degrees): 4.344 4.348 5.549 90.00 90.00 90.00
Element x y z (fractional)
K1 0.000 0.000 0.000
K2 0.500 0.500 0.000
Al1 0.500 0.000 0.500
Co1 0.000 0.500 0.500

Properties
total DFT energy (no corrections): -2.35 eV per atom
SG: P4/mmm

5.
A relaxed structure of K2AlCo, computed with GGA-PBE.

Lattice parameters (Å, degrees): 6.378 6.378 6.378 140.49 140.49 57.10
Element x y z (fractional)
Al1 0.250 0.750 0.500
K1 0.500 0.500 0.000
Co1 0.750 0.250 0.500
K2 0.000 0.000 0.000

Properties
total DFT energy (no corrections): -2.35 eV per atom
SG: I4/mmm

6.
A relaxed structure of K2AlCo, computed with GGA-PBE.

Lattice parameters (Å, degrees): 9.576 9.576 7.293 48.96 48.96 90.00
Element x y z (fractional)
K1 0.375 0.403 0.750
Al1 0.250 0.750 0.500
Co1 0.750 0.250 0.500
Al2 0.500 0.500 0.000
K2 0.875 0.847 0.750
K3 0.597 0.125 0.250
Co2 0.000 0.000 0.000
K4 0.153 0.625 0.250

Properties
total DFT energy (no corrections): -2.30 eV per atom
SG: I-42d

7.
A relaxed structure of KAlCo, computed with GGA-PBE.

Lattice parameters (Å, degrees): 4.629 4.629 4.629 60.00 60.00 60.00
Element x y z (fractional)
K1 0.000 0.000 0.000
Al1 0.500 0.500 0.500
Co1 0.250 0.250 0.250

Properties
total DFT energy (no corrections): -3.01 eV per atom
SG: F-43m

8.
A relaxed structure of K2AlCo, computed with GGA-PBE.

Lattice parameters (Å, degrees): 6.369 6.369 3.148 90.00 90.00 123.59
Element x y z (fractional)
K1 0.500 0.500 0.000
Co1 0.000 0.500 0.500
Al1 0.500 0.000 0.500
K2 0.000 0.000 0.000

Properties
total DFT energy (no corrections): -2.35 eV per atom
SG: Cmmm